# 1
This record from Alexandria via LeMat-Bulk describes Mg2NiGeBr after structural relaxation. The functional is PBE-GGA.

Geometry as CIF:
```
data_Mg2NiGeBr
_cell_length_a 5.1842
_cell_length_b 5.1842
_cell_length_c 4.4376
_cell_angle_alpha 90.00
_cell_angle_beta 90.00
_cell_angle_gamma 90.00
_symmetry_space_group_name_H-M 'P 4/m m m'
_symmetry_Int_Tables_number 123
_symmetry_space_group_name_Hall '-P 4 2'
loop_
_atom_site_label
_atom_site_type_symbol
_atom_site_fract_x
_atom_site_fract_y
_atom_site_fract_z
Mg1 Mg 0.0000 0.5000 0.0000
Ni1 Ni 0.0000 0.0000 0.5000
Ge1 Ge 0.0000 0.0000 0.0000
Br1 Br 0.5000 0.5000 0.5000
```

Computed properties:
Its total energy is -15.54 eV/cell. The density of states at the Fermi level is 2.68 states/eV/f.u. For the volume, the calculation gives 23.853 A^3/atom.


# 2
This record from Alexandria via LeMat-Bulk describes KSr2Cl after structural relaxation. The functional is PBE-GGA.

Geometry as CIF:
```
data_KSr2Cl
_cell_length_a 3.9869
_cell_length_b 3.9869
_cell_length_c 11.0141
_cell_angle_alpha 90.00
_cell_angle_beta 90.00
_cell_angle_gamma 90.00
_symmetry_space_group_name_H-M 'P 4 m m'
_symmetry_Int_Tables_number 99
_symmetry_space_group_name_Hall 'P 4 -2'
loop_
_atom_site_label
_atom_site_type_symbol
_atom_site_fract_x
_atom_site_fract_y
_atom_site_fract_z
K1 K 0.0000 0.0000 0.0000
Sr1 Sr 0.0000 0.0000 0.6206
Sr2 Sr 0.5000 0.5000 0.3298
Cl1 Cl 0.5000 0.5000 0.7931
```

Computed properties:
The density of states at the Fermi level is 3.19 states/eV/f.u. For the energy above the lowest structure with this stoichiometry, the calculation gives 61.2 meV/atom. For the volume, the calculation gives 43.768 A^3/atom.


# 3
This record from Alexandria via LeMat-Bulk describes Pm6Sb3N after structural relaxation. The functional is PBE-GGA.

Geometry as CIF:
```
data_Pm6Sb3N
_cell_length_a 12.1073
_cell_length_b 14.6808
_cell_length_c 7.2037
_cell_angle_alpha 90.00
_cell_angle_beta 90.00
_cell_angle_gamma 90.00
_symmetry_space_group_name_H-M 'C m c 21'
_symmetry_Int_Tables_number 36
_symmetry_space_group_name_Hall 'C 2c -2'
loop_
_atom_site_label
_atom_site_type_symbol
_atom_site_fract_x
_atom_site_fract_y
_atom_site_fract_z
Pm1 Pm 0.0000 0.0524 0.0000
Pm2 Pm 0.0000 0.2252 0.5702
Pm3 Pm 0.1543 0.2624 0.0249
Pm4 Pm 0.1627 0.4695 0.5492
Sb1 Sb 0.0000 0.3888 0.2568
Sb2 Sb 0.1688 0.1032 0.3342
N1 N 0.0000 0.1980 0.8855
```

Computed properties:
Its total energy is -232.25 eV/cell. The density of states at the Fermi level is 9.88 states/eV/f.u. For the volume, the calculation gives 32.010 A^3/atom.